[1]
# Ba2SiTe

A crystal of Ba2SiTe relaxed with PBEsol (meta-GGA SCAN, the Alexandria database).

abc: 12.0377 4.6428 5.1216
angles: 90.00 98.46 90.00
With the nearest neighbours (Å) after each atom.
Space group Cm (No. 8)
Symmetry-distinct sites (fractional):
Ba (0.0000, 0.0000, 0.0000)  4 Si 3.39-3.57, 3 Te 3.40-3.55, 1 Ba 3.57
Ba (0.2434, 0.5000, 0.5514)  3 Si 3.29-3.63, 4 Te 3.42-3.57, 1 Ba 3.57
Si (0.4670, 0.0000, 0.4648)  1 Te 2.70
Te (0.2859, 0.0000, 0.0867)  1 Si 2.70

The energy above the most stable polymorph in this dataset is 0.000 eV per atom. The value obtained for the uncorrected formation energy is -325 kJ/mol of formula units. The calculated volume comes out at 35.39 Å³/atom. For the magnetization, the calculation gives 0.000 μB per atom.


[2]
# BaSiTe

A crystal of BaSiTe relaxed with PBEsol (meta-GGA SCAN, the Alexandria database).

abc: 7.6186 7.6186 7.6186
angles: 90.00 90.00 90.00
With the nearest neighbours (Å) after each atom.
Space group F-43m (No. 216)
Symmetry-distinct sites (fractional):
Ba (0.0000, 0.0000, 0.0000)  4 Te 3.30, 4 Si 3.30
Si (0.2500, 0.2500, 0.2500)  4 Ba 3.30
Te (0.2500, 0.2500, 0.7500)  4 Ba 3.30

The value obtained for the uncorrected formation energy is 36 kJ/mol of formula units. The calculated volume comes out at 36.85 Å³/atom. For the magnetization, the calculation gives 0.000 μB per atom.


Question: Look up the magnetization of the first one.
Answer: 0.000 μB per atom